# YMg6CrO8

A relaxed structure of YMg6CrO8 (PBE+U, Alexandria via LeMat-Bulk).

Results
The value obtained for the total DFT energy (no corrections) is -6.38 eV/atom. The value obtained for the volume is 11.15 Å³/atom.

The structure in CIF format:
```
data_YMg6CrO8
_chemical_formula_sum 'Y1 Mg6 Cr1 O8'
_symmetry_space_group_name_H-M 'P 4/m m m'
_symmetry_Int_Tables_number 123
_symmetry_space_group_name_Hall '-P 4 2'
_cell_length_a 4.4117
_cell_length_b 4.4117
_cell_length_c 9.1646
_cell_angle_alpha 90.00
_cell_angle_beta 90.00
_cell_angle_gamma 90.00
loop_
_atom_site_label
_atom_site_fract_x
_atom_site_fract_y
_atom_site_fract_z
Y1 0.0000 0.0000 0.0000
Mg1 0.0000 0.5000 0.2689
Mg2 0.5000 0.5000 0.0000
Mg3 0.5000 0.5000 0.5000
Cr1 0.0000 0.0000 0.5000
O1 0.0000 0.0000 0.2444
O2 0.0000 0.5000 0.0000
O3 0.0000 0.5000 0.5000
O4 0.5000 0.5000 0.2545
```